Record 1
# CrSiRh meta-GGA SCAN PBEsol geometry
# E_form (uncorrected) in eV/atom: -0.15
# Magnetization in μB per atom: 0.00
# Theoretical density in g/cm³: 8.2
# E_tot in Ha/atom: -0.76709
data_CrSiRh
_symmetry_space_group_name_H-M 'P 3 m 1'
_symmetry_Int_Tables_number 156
_cell_length_a 2.6670
_cell_length_b 2.6670
_cell_length_c 6.0016
_cell_angle_alpha 90.00
_cell_angle_beta 90.00
_cell_angle_gamma 120.00
loop_
_symmetry_equiv_pos_as_xyz
'x,y,z'
'-y,x-y,z'
'-x+y,-x,z'
'-y,-x,z'
'-x+y,y,z'
'x,x-y,z'
loop_
_atom_site_label
_atom_site_fract_x
_atom_site_fract_y
_atom_site_fract_z
Cr1 0.0000 0.0000 0.0000
Si1 0.3333 0.6667 0.3244
Rh1 0.6667 0.3333 0.6582


Record 2
# CrSi2Rh meta-GGA SCAN PBEsol geometry
# E_form (uncorrected) in eV/atom: -0.52
# Magnetization in μB per atom: 0.23
# Theoretical density in g/cm³: 7.3
# E_tot in Ha/atom: -0.68222
data_CrSi2Rh
_symmetry_space_group_name_H-M 'P 4/m m m'
_symmetry_Int_Tables_number 123
_symmetry_space_group_name_Hall '-P 4 2'
_cell_length_a 4.100
_cell_length_b 4.100
_cell_length_c 2.844
_cell_angle_alpha 90.00
_cell_angle_beta 90.00
_cell_angle_gamma 90.00
loop_
_atom_site_label
_atom_site_fract_x
_atom_site_fract_y
_atom_site_fract_z
Cr1 0.000 0.000 0.000
Si1 0.000 0.500 0.500
Rh1 0.500 0.500 0.000


Record 3
# CrSi2Rh meta-GGA SCAN PBEsol geometry
# E_form (uncorrected) in eV/atom: -0.06
# Magnetization in μB per atom: 0.41
# Theoretical density in g/cm³: 6.9
# E_tot in Ha/atom: -0.66554
data_CrSi2Rh
_symmetry_space_group_name_H-M 'R 3 m'
_symmetry_Int_Tables_number 160
_symmetry_space_group_name_Hall 'R 3 -2"'
_cell_length_a 2.7659
_cell_length_b 2.7659
_cell_length_c 23.0735
_cell_angle_alpha 90.00
_cell_angle_beta 90.00
_cell_angle_gamma 120.00
loop_
_atom_site_label
_atom_site_fract_x
_atom_site_fract_y
_atom_site_fract_z
Cr1 0.0000 0.0000 0.0000
Si1 0.0000 0.0000 0.4991
Si2 0.0000 0.0000 0.7451
Rh1 0.0000 0.0000 0.2448


Record 4
# CrSiRh2 meta-GGA SCAN PBEsol geometry
# E_form (uncorrected) in eV/atom: -0.24
# Magnetization in μB per atom: 0.15
# Theoretical density in g/cm³: 9.4
# E_tot in Ha/atom: -0.89045
data_CrSiRh2
_symmetry_space_group_name_H-M 'R 3 m'
_symmetry_Int_Tables_number 160
_symmetry_space_group_name_Hall 'R 3 -2"'
_cell_length_a 2.6788
_cell_length_b 2.6788
_cell_length_c 24.3782
_cell_angle_alpha 90.00
_cell_angle_beta 90.00
_cell_angle_gamma 120.00
loop_
_atom_site_label
_atom_site_fract_x
_atom_site_fract_y
_atom_site_fract_z
Cr1 0.0000 0.0000 0.0000
Si1 0.0000 0.0000 0.2536
Rh1 0.0000 0.0000 0.5099
Rh2 0.0000 0.0000 0.7472


Record 5
# CrSi2Rh meta-GGA SCAN PBEsol geometry
# E_form (uncorrected) in eV/atom: -0.33
# Magnetization in μB per atom: 0.49
# Theoretical density in g/cm³: 6.9
# E_tot in Ha/atom: -0.67532
data_CrSi2Rh
_symmetry_space_group_name_H-M 'P m m m'
_symmetry_Int_Tables_number 47
_cell_length_a 2.681
_cell_length_b 3.696
_cell_length_c 5.158
_cell_angle_alpha 90.00
_cell_angle_beta 90.00
_cell_angle_gamma 90.00
loop_
_symmetry_equiv_pos_as_xyz
'x,y,z'
'-x,-y,-z'
'-x,-y,z'
'x,y,-z'
'x,-y,-z'
'-x,y,z'
'-x,y,-z'
'x,-y,z'
loop_
_atom_site_label
_atom_site_fract_x
_atom_site_fract_y
_atom_site_fract_z
Cr1 0.000 0.000 0.000
Si1 0.500 0.500 0.227
Rh1 0.500 0.000 0.500


Record 6
# SrCrSi2Rh meta-GGA SCAN PBEsol geometry
# E_form (uncorrected) in eV/atom: 0.09
# Magnetization in μB per atom: 0.00
# Theoretical density in g/cm³: 5.3
# E_tot in Ha/atom: -0.69082
data_SrCrSi2Rh
_symmetry_space_group_name_H-M 'P 4/m m m'
_symmetry_Int_Tables_number 123
_symmetry_space_group_name_Hall '-P 4 2'
_cell_length_a 4.456
_cell_length_b 4.456
_cell_length_c 4.686
_cell_angle_alpha 90.00
_cell_angle_beta 90.00
_cell_angle_gamma 90.00
loop_
_atom_site_label
_atom_site_fract_x
_atom_site_fract_y
_atom_site_fract_z
Sr1 0.000 0.000 0.000
Cr1 0.500 0.500 0.500
Si1 0.000 0.500 0.500
Rh1 0.500 0.500 0.000


Record 7
# SrCrRh2 meta-GGA SCAN PBEsol geometry
# Magnetization in μB per atom: 0.69
# Energy above the lowest structure with this stoichiometry in eV/atom: 0.114
# Theoretical density in g/cm³: 7.9
# E_tot in Ha/atom: -0.98789
data_SrCrRh2
_symmetry_space_group_name_H-M 'P 1 m 1'
_symmetry_Int_Tables_number 6
_cell_length_a 2.929
_cell_length_b 4.337
_cell_length_c 5.758
_cell_angle_alpha 90.00
_cell_angle_beta 96.49
_cell_angle_gamma 90.00
loop_
_symmetry_equiv_pos_as_xyz
'x,y,z'
'x,-y,z'
loop_
_atom_site_label
_atom_site_fract_x
_atom_site_fract_y
_atom_site_fract_z
Sr1 0.000 0.000 0.000
Cr1 0.867 0.500 0.411
Rh1 0.425 0.000 0.489
Rh2 0.445 0.500 0.754


Record 8
# SrCrRh2 meta-GGA SCAN PBEsol geometry
# Magnetization in μB per atom: 0.55
# Energy above the lowest structure with this stoichiometry in eV/atom: 0.000
# Theoretical density in g/cm³: 7.0
# E_tot in Ha/atom: -0.99206
data_SrCrRh2
_symmetry_space_group_name_H-M 'R 3 m'
_symmetry_Int_Tables_number 160
_symmetry_space_group_name_Hall 'R 3 -2"'
_cell_length_a 4.0749
_cell_length_b 4.0749
_cell_length_c 17.0200
_cell_angle_alpha 90.00
_cell_angle_beta 90.00
_cell_angle_gamma 120.00
loop_
_atom_site_label
_atom_site_fract_x
_atom_site_fract_y
_atom_site_fract_z
Sr1 0.0000 0.0000 0.0000
Cr1 0.0000 0.0000 0.8129
Rh1 0.0000 0.0000 0.2050
Rh2 0.0000 0.0000 0.4676


Record 9
# SrCrRh2 meta-GGA SCAN PBEsol geometry
# Magnetization in μB per atom: 0.74
# Energy above the lowest structure with this stoichiometry in eV/atom: 0.199
# Theoretical density in g/cm³: 8.0
# E_tot in Ha/atom: -0.98476
data_SrCrRh2
_symmetry_space_group_name_H-M 'P m m 2'
_symmetry_Int_Tables_number 25
_cell_length_a 2.844
_cell_length_b 3.824
_cell_length_c 6.615
_cell_angle_alpha 90.00
_cell_angle_beta 90.00
_cell_angle_gamma 90.00
loop_
_symmetry_equiv_pos_as_xyz
'x,y,z'
'-x,-y,z'
'-x,y,z'
'x,-y,z'
loop_
_atom_site_label
_atom_site_fract_x
_atom_site_fract_y
_atom_site_fract_z
Sr1 0.000 0.000 0.000
Cr1 0.500 0.500 0.365
Rh1 0.000 0.000 0.488
Rh2 0.500 0.500 0.715


Record 10
# SrCrRh2 meta-GGA SCAN PBEsol geometry
# Magnetization in μB per atom: 0.84
# Energy above the lowest structure with this stoichiometry in eV/atom: 0.178
# Theoretical density in g/cm³: 8.2
# E_tot in Ha/atom: -0.98554
data_SrCrRh2
_symmetry_space_group_name_H-M 'I m m 2'
_symmetry_Int_Tables_number 44
_cell_length_a 2.948
_cell_length_b 4.741
_cell_length_c 9.999
_cell_angle_alpha 90.00
_cell_angle_beta 90.00
_cell_angle_gamma 90.00
loop_
_symmetry_equiv_pos_as_xyz
'x,y,z'
'-x,-y,z'
'-x,y,z'
'x,-y,z'
'x+1/2,y+1/2,z+1/2'
'-x+1/2,-y+1/2,z+1/2'
'-x+1/2,y+1/2,z+1/2'
'x+1/2,-y+1/2,z+1/2'
loop_
_atom_site_label
_atom_site_fract_x
_atom_site_fract_y
_atom_site_fract_z
Sr1 0.000 0.000 0.000
Cr1 0.000 0.500 0.784
Rh1 0.000 0.000 0.497
Rh2 0.000 0.500 0.227


Record 11
# SrCr3Rh meta-GGA SCAN PBEsol geometry
# Magnetization in μB per atom: 2.35
# Theoretical density in g/cm³: 5.2
# E_tot in Ha/atom: -0.79562
data_SrCr3Rh
_symmetry_space_group_name_H-M 'P m -3 m'
_symmetry_Int_Tables_number 221
_symmetry_space_group_name_Hall '-P 4 2 3'
_cell_length_a 4.795
_cell_length_b 4.795
_cell_length_c 4.795
_cell_angle_alpha 90.00
_cell_angle_beta 90.00
_cell_angle_gamma 90.00
loop_
_atom_site_label
_atom_site_fract_x
_atom_site_fract_y
_atom_site_fract_z
Sr1 0.000 0.000 0.000
Cr1 0.000 0.500 0.500
Rh1 0.500 0.500 0.500


Record 12
# TaCr2Rh meta-GGA SCAN PBEsol geometry
# Magnetization in μB per atom: 0.00
# Energy above the lowest structure with this stoichiometry in eV/atom: 0.344
# Theoretical density in g/cm³: 11.7
# E_tot in Ha/atom: -1.24794
data_TaCr2Rh
_symmetry_space_group_name_H-M 'R -3 m'
_symmetry_Int_Tables_number 166
_symmetry_space_group_name_Hall '-R 3 2"'
_cell_length_a 2.6690
_cell_length_b 2.6690
_cell_length_c 26.7033
_cell_angle_alpha 90.00
_cell_angle_beta 90.00
_cell_angle_gamma 120.00
loop_
_atom_site_label
_atom_site_fract_x
_atom_site_fract_y
_atom_site_fract_z
Ta1 0.0000 0.0000 0.0000
Cr1 0.0000 0.0000 0.2442
Rh1 0.0000 0.0000 0.5000


Record 13
# TaCr2Rh meta-GGA SCAN PBEsol geometry
# Magnetization in μB per atom: 0.00
# Energy above the lowest structure with this stoichiometry in eV/atom: 0.000
# Theoretical density in g/cm³: 11.9
# E_tot in Ha/atom: -1.26057
data_TaCr2Rh
_symmetry_space_group_name_H-M 'P 1 m 1'
_symmetry_Int_Tables_number 6
_cell_length_a 2.689
_cell_length_b 3.938
_cell_length_c 5.280
_cell_angle_alpha 90.00
_cell_angle_beta 104.66
_cell_angle_gamma 90.00
loop_
_symmetry_equiv_pos_as_xyz
'x,y,z'
'x,-y,z'
loop_
_atom_site_label
_atom_site_fract_x
_atom_site_fract_y
_atom_site_fract_z
Ta1 0.000 0.000 0.000
Cr1 0.571 0.500 0.284
Cr2 0.902 0.000 0.469
Rh1 0.403 0.500 0.733


Record 14
# TaCr2Rh meta-GGA SCAN PBEsol geometry
# Magnetization in μB per atom: 0.73
# Energy above the lowest structure with this stoichiometry in eV/atom: 0.048
# Theoretical density in g/cm³: 11.9
# E_tot in Ha/atom: -1.25880
data_TaCr2Rh
_symmetry_space_group_name_H-M 'P 4/m m m'
_symmetry_Int_Tables_number 123
_symmetry_space_group_name_Hall '-P 4 2'
_cell_length_a 3.021
_cell_length_b 3.021
_cell_length_c 5.953
_cell_angle_alpha 90.00
_cell_angle_beta 90.00
_cell_angle_gamma 90.00
loop_
_atom_site_label
_atom_site_fract_x
_atom_site_fract_y
_atom_site_fract_z
Ta1 0.000 0.000 0.000
Cr1 0.500 0.500 0.249
Rh1 0.000 0.000 0.500


Record 15
# TaCr2Rh meta-GGA SCAN PBEsol geometry
# Magnetization in μB per atom: 0.00
# Energy above the lowest structure with this stoichiometry in eV/atom: 0.201
# Theoretical density in g/cm³: 11.7
# E_tot in Ha/atom: -1.25318
data_TaCr2Rh
_symmetry_space_group_name_H-M 'R 3 m'
_symmetry_Int_Tables_number 160
_symmetry_space_group_name_Hall 'R 3 -2"'
_cell_length_a 2.7872
_cell_length_b 2.7872
_cell_length_c 24.5246
_cell_angle_alpha 90.00
_cell_angle_beta 90.00
_cell_angle_gamma 120.00
loop_
_atom_site_label
_atom_site_fract_x
_atom_site_fract_y
_atom_site_fract_z
Ta1 0.0000 0.0000 0.0000
Cr1 0.0000 0.0000 0.4914
Cr2 0.0000 0.0000 0.7597
Rh1 0.0000 0.0000 0.2423